(1)
DFT (GGA-PBE) results for a relaxed structure of GdMgZn.

## Properties
As for the total energy: -2.598 eV per atom. The space-group type is P3m1. For the volume, the calculation gives 67.2 Å³/f.u.

Cell: 5.0164 5.0164 9.2455 Å, 90.00 90.00 120.00°
Closest atoms and distances in Å follow each position.
Fractional coordinates of all 9 atoms:
Gd1 0.0000 0.0000 0.0000  1 Mg 2.94, 3 Zn 3.00
Gd2 0.3333 0.6667 0.1901  3 Mg 2.93, 1 Zn 3.00
Gd3 0.6667 0.3333 0.5836  4 Zn 2.97-3.07, 4 Mg 3.04-3.22
Mg1 0.0000 0.0000 0.3659  4 Mg 2.93-3.14, 3 Zn 3.20
Mg2 0.0000 0.0000 0.6823  1 Mg 2.93, 4 Gd 2.94-3.04, 3 Zn 3.18
Mg3 0.6667 0.3333 0.2358  4 Gd 2.93-3.22, 1 Zn 2.96, 3 Mg 3.14
Zn1 0.3333 0.6667 0.5143  1 Zn 2.87, 4 Gd 2.97-3.00, 3 Mg 3.20
Zn2 0.3333 0.6667 0.8248  4 Zn 2.87-3.01, 3 Mg 3.18
Zn3 0.6667 0.3333 0.9152  1 Mg 2.96, 4 Gd 3.00-3.07, 3 Zn 3.01



(2)
DFT (GGA-PBE) results for a relaxed structure of TmTlIn.

## Properties
As for the distance to the lowest polymorph of the same formula: 0.021 eV per atom. The space-group type is Cmmm. For the volume, the calculation gives 76.1 Å³/f.u.

Cell: 7.5371 7.5371 4.5883 Å, 90.00 90.00 144.30°
Closest atoms and distances in Å follow each position.
Fractional coordinates of all 6 atoms:
Tm1 0.1544 0.8456 0.0000  4 In 3.19-3.20, 6 Tl 3.27-3.38
Tm2 0.8456 0.1544 0.0000  4 In 3.19-3.20, 6 Tl 3.27-3.38
Tl1 0.3275 0.6725 0.5000  2 Tl 3.21, 6 Tm 3.27-3.38, 4 In 3.38-3.39
Tl2 0.6725 0.3275 0.5000  2 Tl 3.21, 6 Tm 3.27-3.38, 4 In 3.38-3.39
In1 0.0000 0.0000 0.5000  4 Tm 3.19, 4 In 3.26, 4 Tl 3.39
In2 0.5000 0.5000 0.0000  4 Tm 3.20, 4 In 3.26, 4 Tl 3.38